A relaxed Na2Hg2Bi crystal. Source: Alexandria, functional PBE.

Output
Crystal system: tetragonal
Total magnetization in μB per cell: 0.00
Energy of formation from the pure elements in eV/atom: -0.170
Polymorph energy (0 for the lowest one) in meV per atom: 59

Cell lengths 8.6645, 8.6645, 3.6978 Å; angles 90.00, 90.00, 90.00 degrees
Space group P4/mbm (No. 127)
Unique sites:
1 Na 0.1585 0.3415 0.0000 (multiplicity 4)
2 Hg 0.1364 0.6364 0.5000 (multiplicity 4)
3 Bi 0.0000 0.0000 0.0000 (multiplicity 2)

A relaxed Na16Hg12Bi crystal. Source: Alexandria, functional PBE.

Output
Crystal system: monoclinic
Total magnetization in μB per cell: 0.00
Energy of formation from the pure elements in eV/atom: -0.214

Cell lengths 11.8019, 15.9347, 10.1977 Å; angles 90.00, 124.08, 90.00 degrees
Space group Cm (No. 8)
Unique sites:
1 Na 0.0000 0.0000 0.0000 (multiplicity 2)
2 Na 0.0194 0.3199 0.6780 (multiplicity 4)
3 Na 0.0461 0.3499 0.1002 (multiplicity 4)
4 Na 0.1470 0.1512 0.2720 (multiplicity 4)
5 Na 0.1837 0.5000 0.6655 (multiplicity 2)
6 Na 0.2182 0.2042 0.9979 (multiplicity 4)
7 Na 0.2325 0.1219 0.6651 (multiplicity 4)
8 Na 0.2413 0.5000 0.3720 (multiplicity 2)
9 Na 0.2881 0.0000 0.9843 (multiplicity 2)
10 Na 0.4111 0.3066 0.3650 (multiplicity 4)
11 Hg 0.2082 0.3099 0.4965 (multiplicity 4)
12 Hg 0.2667 0.3996 0.0234 (multiplicity 4)
13 Hg 0.3515 0.0000 0.5096 (multiplicity 2)
14 Hg 0.3833 0.2997 0.8708 (multiplicity 4)
15 Hg 0.4358 0.1012 0.3161 (multiplicity 4)
16 Hg 0.4909 0.4062 0.7044 (multiplicity 4)
17 Hg 0.4948 0.0000 0.8627 (multiplicity 2)
18 Bi 0.0072 0.0000 0.3461 (multiplicity 2)

A relaxed Na6HgBi5 crystal. Source: Alexandria, functional PBE.

Output
Crystal system: orthorhombic
Total magnetization in μB per cell: 0.00
Energy of formation from the pure elements in eV/atom: -0.289

Cell lengths 4.8513, 14.5511, 9.7336 Å; angles 90.00, 90.00, 90.00 degrees
Space group Cmmm (No. 65)
Unique sites:
1 Na 0.0000 0.0000 0.2472 (multiplicity 4)
2 Na 0.0000 0.3313 0.2476 (multiplicity 8)
3 Hg 0.0000 0.5000 0.0000 (multiplicity 2)
4 Bi 0.0000 0.1648 0.0000 (multiplicity 4)
5 Bi 0.0000 0.1675 0.5000 (multiplicity 4)
6 Bi 0.0000 0.5000 0.5000 (multiplicity 2)

A relaxed Na8Hg3Bi2 crystal. Source: Alexandria, functional PBE.

Output
Crystal system: monoclinic
Total magnetization in μB per cell: 0.00
Energy of formation from the pure elements in eV/atom: -0.261

Cell lengths 13.7864, 10.8420, 5.4187 Å; angles 90.00, 104.67, 90.00 degrees
Space group C2/m (No. 12)
Unique sites:
1 Na 0.0629 0.0000 0.2942 (multiplicity 4)
2 Na 0.1453 0.2689 0.0851 (multiplicity 8)
3 Na 0.1659 0.5000 0.5668 (multiplicity 4)
4 Hg 0.0000 0.2774 0.5000 (multiplicity 4)
5 Hg 0.0000 0.5000 0.0000 (multiplicity 2)
6 Bi 0.1944 0.0000 0.8635 (multiplicity 4)

A relaxed NaHg8Bi2 crystal. Source: Alexandria, functional PBE.

Output
Crystal system: triclinic
Total magnetization in μB per cell: 0.00
Energy of formation from the pure elements in eV/atom: -0.029

Cell lengths 5.9124, 6.9422, 8.0257 Å; angles 91.77, 106.38, 101.02 degrees
Space group P-1 (No. 2)
Unique sites:
1 Na 0.0000 0.0000 0.0000 (multiplicity 1)
2 Hg 0.0934 0.8031 0.3442 (multiplicity 2)
3 Hg 0.1822 0.6537 0.7172 (multiplicity 2)
4 Hg 0.2714 0.4769 0.0693 (multiplicity 2)
5 Hg 0.4337 0.0938 0.8137 (multiplicity 2)
6 Bi 0.3586 0.2871 0.4281 (multiplicity 2)

A relaxed Na2Hg2Bi crystal. Source: Alexandria, functional PBE.

Output
Crystal system: tetragonal
Total magnetization in μB per cell: 0.00
Energy of formation from the pure elements in eV/atom: -0.066
Polymorph energy (0 for the lowest one) in meV per atom: 162

Cell lengths 4.5111, 4.5111, 13.8462 Å; angles 90.00, 90.00, 90.00 degrees
Space group I4/mmm (No. 139)
Unique sites:
1 Na 0.0000 0.5000 0.2500 (multiplicity 4)
2 Hg 0.0000 0.0000 0.1042 (multiplicity 4)
3 Bi 0.0000 0.0000 0.5000 (multiplicity 2)

The records above yield volume values of 27.76, 27.39, 28.63, 30.14, 28.09, 28.18 Å³ per atom, respectively.